Entry 1:
Entry from the Alexandria database: a relaxed CrPd2Pt2 crystal (PBE).

Unit cell a=6.565 b=6.565 c=3.846 alpha=90.00 beta=90.00 gamma=90.00
Fractional coordinates of all 10 atoms:
Cr  0.000  0.000  0.000
Cr  0.500  0.500  0.000
Pd  0.158  0.342  0.500
Pd  0.342  0.842  0.500
Pd  0.658  0.158  0.500
Pd  0.842  0.658  0.500
Pt  0.143  0.643  0.000
Pt  0.357  0.143  0.000
Pt  0.643  0.857  0.000
Pt  0.857  0.357  0.000

Properties
M_tot = 3.230 μB per formula unit
electronic total energy = -62.98 eV per cell
energy of formation from the pure elements = 120 meV per atom

***

Entry 2:
Entry from the Alexandria database: a relaxed CrPd5Pt crystal (PBE).

Unit cell a=5.139 b=6.855 c=7.154 alpha=90.00 beta=90.00 gamma=90.00
Fractional coordinates of all 14 atoms:
Cr  0.000  0.000  0.000
Cr  0.500  0.500  0.500
Pd  0.000  0.184  0.316
Pd  0.000  0.500  0.853
Pd  0.000  0.816  0.316
Pd  0.243  0.000  0.669
Pd  0.257  0.500  0.169
Pd  0.500  0.000  0.353
Pd  0.500  0.316  0.816
Pd  0.500  0.684  0.816
Pd  0.743  0.500  0.169
Pd  0.757  0.000  0.669
Pt  0.000  0.500  0.508
Pt  0.500  0.000  0.008

Properties
M_tot = 2.255 μB per formula unit
electronic total energy = -77.07 eV per cell
energy of formation from the pure elements = 442 meV per atom

***

Entry 3:
Entry from the Alexandria database: a relaxed Cr2Pd9Pt crystal (PBE).

Unit cell a=3.915 b=3.915 c=11.805 alpha=90.00 beta=90.00 gamma=90.00
Fractional coordinates of all 12 atoms:
Cr  0.000  0.000  0.166
Cr  0.000  0.000  0.834
Pd  0.000  0.500  0.000
Pd  0.000  0.500  0.329
Pd  0.000  0.500  0.671
Pd  0.500  0.000  0.000
Pd  0.500  0.000  0.329
Pd  0.500  0.000  0.671
Pd  0.500  0.500  0.164
Pd  0.500  0.500  0.500
Pd  0.500  0.500  0.836
Pt  0.000  0.000  0.500

Properties
M_tot = 5.803 μB per formula unit
electronic total energy = -72.83 eV per cell
energy of formation from the pure elements = -67 meV per atom

***

Entry 4:
Entry from the Alexandria database: a relaxed Cr2PdPt crystal (PBE).

Unit cell a=6.901 b=6.901 c=5.537 alpha=90.00 beta=90.00 gamma=90.00
Fractional coordinates of all 16 atoms:
Cr  0.247  0.250  0.125
Cr  0.250  0.747  0.375
Cr  0.250  0.753  0.875
Cr  0.253  0.250  0.625
Cr  0.747  0.750  0.625
Cr  0.750  0.247  0.875
Cr  0.750  0.253  0.375
Cr  0.753  0.750  0.125
Pd  0.000  0.000  0.500
Pd  0.000  0.500  0.750
Pd  0.500  0.000  0.250
Pd  0.500  0.500  0.000
Pt  0.000  0.000  0.000
Pt  0.000  0.500  0.250
Pt  0.500  0.000  0.750
Pt  0.500  0.500  0.500

Properties
M_tot = 7.015 μB per formula unit
electronic total energy = -115.32 eV per cell
energy of formation from the pure elements = 413 meV per atom

***

Entry 5:
Entry from the Alexandria database: a relaxed CrPd2Pt2 crystal (PBE).

Unit cell a=4.275 b=4.275 c=10.108 alpha=90.00 beta=90.00 gamma=120.00
Fractional coordinates of all 10 atoms:
Cr  0.000  0.000  0.250
Cr  0.000  0.000  0.750
Pd  0.333  0.667  0.110
Pd  0.333  0.667  0.390
Pd  0.667  0.333  0.610
Pd  0.667  0.333  0.890
Pt  0.000  0.000  0.000
Pt  0.000  0.000  0.500
Pt  0.333  0.667  0.750
Pt  0.667  0.333  0.250

Properties
M_tot = 2.230 μB per formula unit
electronic total energy = -63.25 eV per cell
energy of formation from the pure elements = 93 meV per atom

***

Entry 6:
Entry from the Alexandria database: a relaxed CrPd3Pt7 crystal (PBE).

Unit cell a=6.479 b=6.479 c=4.916 alpha=107.86 beta=107.86 gamma=89.39
Fractional coordinates of all 11 atoms:
Cr  0.000  0.000  0.000
Pd  0.291  0.709  0.500
Pd  0.500  0.500  0.000
Pd  0.709  0.291  0.500
Pt  0.000  0.000  0.500
Pt  0.083  0.585  0.842
Pt  0.275  0.275  0.450
Pt  0.415  0.917  0.158
Pt  0.585  0.083  0.842
Pt  0.725  0.725  0.550
Pt  0.917  0.415  0.158

Properties
M_tot = 2.316 μB per formula unit
electronic total energy = -65.53 eV per cell
energy of formation from the pure elements = 178 meV per atom

***

Entry 7:
Entry from the Alexandria database: a relaxed Cr2Pd8Pt crystal (PBE).

Unit cell a=7.321 b=7.321 c=6.169 alpha=104.10 beta=104.10 gamma=30.37
Fractional coordinates of all 11 atoms:
Cr  0.231  0.231  0.112
Cr  0.769  0.769  0.888
Pd  0.049  0.049  0.229
Pd  0.143  0.143  0.698
Pd  0.316  0.316  0.589
Pd  0.403  0.403  0.040
Pd  0.597  0.597  0.960
Pd  0.684  0.684  0.411
Pd  0.857  0.857  0.302
Pd  0.951  0.951  0.771
Pt  0.500  0.500  0.500

Properties
M_tot = 0.009 μB per formula unit
electronic total energy = -66.81 eV per cell
energy of formation from the pure elements = 2 meV per atom

***

Entry 8:
Entry from the Alexandria database: a relaxed Cr2PdPt9 crystal (PBE).

Unit cell a=3.928 b=3.928 c=11.811 alpha=90.00 beta=90.00 gamma=90.00
Fractional coordinates of all 12 atoms:
Cr  0.000  0.000  0.167
Cr  0.000  0.000  0.833
Pd  0.000  0.000  0.500
Pt  0.000  0.500  0.000
Pt  0.000  0.500  0.327
Pt  0.000  0.500  0.673
Pt  0.500  0.000  0.000
Pt  0.500  0.000  0.327
Pt  0.500  0.000  0.673
Pt  0.500  0.500  0.164
Pt  0.500  0.500  0.500
Pt  0.500  0.500  0.836

Properties
M_tot = 4.968 μB per formula unit
electronic total energy = -81.18 eV per cell
energy of formation from the pure elements = -197 meV per atom

***

Entry 9:
Entry from the Alexandria database: a relaxed CrPd8Pt6 crystal (PBE).

Unit cell a=6.859 b=6.859 c=6.859 alpha=64.91 beta=64.91 gamma=64.91
Fractional coordinates of all 15 atoms:
Cr  0.000  0.000  0.000
Pd  0.142  0.424  0.824
Pd  0.176  0.858  0.576
Pd  0.253  0.253  0.253
Pd  0.424  0.824  0.142
Pd  0.576  0.176  0.858
Pd  0.747  0.747  0.747
Pd  0.824  0.142  0.424
Pd  0.858  0.576  0.176
Pt  0.068  0.680  0.363
Pt  0.320  0.637  0.932
Pt  0.363  0.068  0.680
Pt  0.637  0.932  0.320
Pt  0.680  0.363  0.068
Pt  0.932  0.320  0.637

Properties
M_tot = 1.609 μB per formula unit
electronic total energy = -85.16 eV per cell
energy of formation from the pure elements = 150 meV per atom

***

Entry 10:
Entry from the Alexandria database: a relaxed CrPdPt4 crystal (PBE).

Unit cell a=3.803 b=3.803 c=7.336 alpha=90.00 beta=90.00 gamma=90.00
Fractional coordinates of all 6 atoms:
Cr  0.000  0.000  0.000
Pd  0.500  0.500  0.500
Pt  0.000  0.500  0.234
Pt  0.000  0.500  0.766
Pt  0.500  0.000  0.234
Pt  0.500  0.000  0.766

Properties
M_tot = 1.968 μB per formula unit
electronic total energy = -38.41 eV per cell
energy of formation from the pure elements = 94 meV per atom

***

Entry 11:
Entry from the Alexandria database: a relaxed CrPdPt2 crystal (PBE).

Unit cell a=7.021 b=7.021 c=5.318 alpha=90.00 beta=90.00 gamma=90.00
Fractional coordinates of all 16 atoms:
Cr  0.000  0.000  0.000
Cr  0.000  0.500  0.250
Cr  0.500  0.000  0.750
Cr  0.500  0.500  0.500
Pd  0.000  0.000  0.500
Pd  0.000  0.500  0.750
Pd  0.500  0.000  0.250
Pd  0.500  0.500  0.000
Pt  0.223  0.250  0.125
Pt  0.250  0.723  0.375
Pt  0.250  0.777  0.875
Pt  0.277  0.250  0.625
Pt  0.723  0.750  0.625
Pt  0.750  0.223  0.875
Pt  0.750  0.277  0.375
Pt  0.777  0.750  0.125

Properties
M_tot = 2.370 μB per formula unit
electronic total energy = -105.00 eV per cell
energy of formation from the pure elements = 162 meV per atom

***

Entry 12:
Entry from the Alexandria database: a relaxed CrPd12Pt7 crystal (PBE).

Unit cell a=6.985 b=6.985 c=6.985 alpha=102.26 beta=102.26 gamma=102.26
Fractional coordinates of all 20 atoms:
Cr  0.000  0.000  0.000
Pd  0.079  0.332  0.332
Pd  0.241  0.500  0.759
Pd  0.241  0.759  0.500
Pd  0.332  0.079  0.332
Pd  0.332  0.332  0.079
Pd  0.500  0.241  0.759
Pd  0.500  0.759  0.241
Pd  0.668  0.668  0.921
Pd  0.668  0.921  0.668
Pd  0.759  0.241  0.500
Pd  0.759  0.500  0.241
Pd  0.921  0.668  0.668
Pt  0.092  0.092  0.685
Pt  0.092  0.685  0.092
Pt  0.315  0.908  0.908
Pt  0.500  0.500  0.500
Pt  0.685  0.092  0.092
Pt  0.908  0.315  0.908
Pt  0.908  0.908  0.315

Properties
M_tot = 0.409 μB per formula unit
electronic total energy = -114.09 eV per cell
energy of formation from the pure elements = 7 meV per atom